Record 1
YZrAl4 | SCAN | single point on PBEsol structure Values from VASP.

Values from the calculation:
space group: F-43m, No. 216
ΔE_f: -317 kJ/mol of formula units
DFT total energy: -92.83 eV for the cell shown

```
&SYSTEM
  ibrav = 0, nat = 6, ntyp = 3
/
ATOMIC_SPECIES
Zr 91.22 Zr.upf
Al 26.98 Al.upf
Y 88.91 Y.upf
CELL_PARAMETERS angstrom
5.395 0.000 0.000
2.697 4.672 0.000
2.697 1.557 4.405
ATOMIC_POSITIONS angstrom
Zr 0.000 0.000 0.000
Al 5.395 4.675 1.651
Al 4.043 2.334 1.651
Al 6.746 2.334 1.651
Al 5.395 3.115 3.857
Y 8.092 4.672 3.304
```

***

Record 2
YZr2Al | SCAN | single point on PBEsol structure Values from VASP.

Values from the calculation:
space group: P4/mmm, No. 123
ΔE_f: -69 kJ/mol of formula units
DFT total energy: -97.71 eV for the cell shown

```
&SYSTEM
  ibrav = 0, nat = 4, ntyp = 3
/
ATOMIC_SPECIES
Zr 91.22 Zr.upf
Y 88.91 Y.upf
Al 26.98 Al.upf
CELL_PARAMETERS angstrom
-2.139 3.153 -2.262
1.296 -1.854 -3.810
-3.649 -2.495 -0.027
ATOMIC_POSITIONS angstrom
Zr -1.069 1.576 -1.131
Zr 0.648 -0.927 -1.905
Y -1.825 -1.248 -0.014
Al -2.246 -0.598 -3.049
```